Record 1
Material: ScTa2Os
Method: DFT, PBEsol
State: relaxed

Cell and atoms, written as extended XYZ:
```
4
Lattice="1.472 0.850 9.339 -1.472 0.850 9.339 0.000 -1.700 9.339" Properties=species:S:1:pos:R:3 pbc="T T T"
Sc 0.000 0.000 0.000
Ta 0.000 0.000 6.812
Ta 0.000 0.000 21.205
Os 0.000 0.000 14.008
```



Record 2
Material: Rb3BeGe
Method: DFT, PBEsol
State: relaxed

Cell and atoms, written as extended XYZ:
```
5
Lattice="6.303 0.000 0.000 0.000 6.303 0.000 0.000 0.000 6.303" Properties=species:S:1:pos:R:3 pbc="T T T"
Rb 0.000 0.000 3.152
Rb 0.000 3.152 0.000
Rb 3.152 0.000 0.000
Be 0.000 0.000 0.000
Ge 3.152 3.152 3.152
```



Record 3
Material: Co2HgHCl
Method: DFT, PBEsol
State: relaxed

Cell and atoms, written as extended XYZ:
```
5
Lattice="4.391 0.000 0.000 0.000 4.391 0.000 0.000 0.000 3.153" Properties=species:S:1:pos:R:3 pbc="T T T"
Co 0.000 2.195 0.000
Co 2.195 0.000 0.000
Hg 0.000 0.000 1.577
H 2.195 2.195 1.577
Cl 2.195 2.195 0.000
```



Record 4
Material: FeTe2Os
Method: DFT, PBEsol
State: relaxed

Cell and atoms, written as extended XYZ:
```
4
Lattice="-1.943 1.943 4.727 1.943 -1.943 4.727 1.943 1.943 -4.727" Properties=species:S:1:pos:R:3 pbc="T T T"
Fe 0.000 0.000 0.000
Te 1.943 0.000 2.364
Te 0.000 0.000 4.727
Os 0.000 1.943 2.364
```

- Formation energy from raw total energies: 3.55 eV per formula unit



Record 5
Material: MnNbAs
Method: DFT, PBEsol
State: relaxed

Cell and atoms, written as extended XYZ:
```
3
Lattice="0.000 2.997 2.997 2.997 0.000 2.997 2.997 2.997 0.000" Properties=species:S:1:pos:R:3 pbc="T T T"
Mn 0.000 0.000 0.000
Nb 1.499 1.499 1.499
As 2.997 2.997 2.997
```



Record 6
Material: Nb2ZnIrF
Method: DFT, PBEsol
State: relaxed

Cell and atoms, written as extended XYZ:
```
5
Lattice="4.850 0.000 0.000 0.000 4.850 0.000 0.000 0.000 3.552" Properties=species:S:1:pos:R:3 pbc="T T T"
Nb 0.000 2.425 0.000
Nb 2.425 0.000 0.000
Zn 0.000 0.000 0.000
Ir 2.425 2.425 1.776
F 0.000 0.000 1.776
```

- Formation energy from raw total energies: 3.96 eV per formula unit



Record 7
Material: Tc2NiRh
Method: DFT, PBEsol
State: relaxed

Cell and atoms, written as extended XYZ:
```
4
Lattice="2.644 0.000 0.000 0.000 4.209 0.000 0.000 0.000 4.637" Properties=species:S:1:pos:R:3 pbc="T T T"
Tc 0.000 0.000 0.000
Tc 0.000 2.104 1.516
Ni 1.322 2.104 3.862
Rh 1.322 0.000 2.386
```



Record 8
Material: ZnFe2Rh
Method: DFT, PBEsol
State: relaxed

Cell and atoms, written as extended XYZ:
```
4
Lattice="1.424 -2.136 0.000 1.424 2.136 0.000 0.000 0.000 8.170" Properties=species:S:1:pos:R:3 pbc="T T T"
Zn 0.000 0.000 0.000
Fe 0.000 0.000 3.944
Fe 1.424 0.000 2.057
Rh 1.424 0.000 6.023
```



Record 9
Material: KSn2Cl
Method: DFT, PBEsol
State: relaxed

Cell and atoms, written as extended XYZ:
```
4
Lattice="0.000 3.847 3.847 3.847 0.000 3.847 3.847 3.847 0.000" Properties=species:S:1:pos:R:3 pbc="T T T"
K 0.000 0.000 0.000
Sn 1.923 1.923 1.923
Sn 5.770 5.770 5.770
Cl 3.847 3.847 3.847
```

- Formation energy from raw total energies: 0.48 eV per formula unit



Record 10
Material: CdTcPb2
Method: DFT, PBEsol
State: relaxed

Cell and atoms, written as extended XYZ:
```
4
Lattice="4.946 0.000 0.000 0.000 4.946 0.000 0.000 0.000 3.450" Properties=species:S:1:pos:R:3 pbc="T T T"
Cd 0.000 0.000 0.000
Tc 2.473 2.473 0.000
Pb 0.000 2.473 1.725
Pb 2.473 0.000 1.725
```



Record 11
Material: Ho
Method: DFT, PBEsol
State: relaxed

Cell and atoms, written as extended XYZ:
```
1
Lattice="0.000 2.434 2.434 2.434 0.000 2.434 2.434 2.434 0.000" Properties=species:S:1:pos:R:3 pbc="T T T"
Ho 0.000 0.000 0.000
```



Record 12
Material: Ti3ReSb
Method: DFT, PBEsol
State: relaxed

Cell and atoms, written as extended XYZ:
```
5
Lattice="4.786 0.000 0.000 0.000 4.786 0.000 0.000 0.000 4.786" Properties=species:S:1:pos:R:3 pbc="T T T"
Ti 0.000 0.000 2.393
Ti 0.000 2.393 0.000
Ti 2.393 0.000 0.000
Re 2.393 2.393 2.393
Sb 0.000 0.000 0.000
```

- Formation energy from raw total energies: 7.69 eV per formula unit



Record 13
Material: KSnSb2Te
Method: DFT, PBEsol
State: relaxed

Cell and atoms, written as extended XYZ:
```
5
Lattice="5.662 0.000 0.000 0.000 5.662 0.000 0.000 0.000 5.846" Properties=species:S:1:pos:R:3 pbc="T T T"
K 0.000 0.000 0.000
Sn 2.831 2.831 2.923
Sb 0.000 2.831 2.923
Sb 2.831 0.000 2.923
Te 2.831 2.831 0.000
```

- Formation energy from raw total energies: 1.13 eV per formula unit



Record 14
Material: KMo2Au
Method: DFT, PBEsol
State: relaxed

Cell and atoms, written as extended XYZ:
```
4
Lattice="2.753 0.000 0.000 0.000 4.706 0.000 -1.009 0.000 7.078" Properties=species:S:1:pos:R:3 pbc="T T T"
K 0.000 0.000 0.000
Mo -0.238 2.353 4.581
Mo 1.982 2.353 2.496
Au 0.872 0.000 3.539
```



Record 15
Material: LaAl2SnPt
Method: DFT, PBEsol
State: relaxed

Cell and atoms, written as extended XYZ:
```
5
Lattice="4.897 0.000 0.000 0.000 4.897 0.000 0.000 0.000 5.998" Properties=species:S:1:pos:R:3 pbc="T T T"
La 0.000 0.000 0.000
Al 0.000 2.448 2.999
Al 2.448 0.000 2.999
Sn 0.000 0.000 2.999
Pt 2.448 2.448 0.000
```



DFT total energy values (in eV per atom) by entry order: -10.832 -1.504 -3.540 -6.171 -8.185 -6.203 -9.313 -6.867 -2.794 -4.474 -4.934 -7.033 -3.381 -6.288 -4.234.
Density values (in Mg/m³) by entry order: 14.139 2.241 9.694 11.659 6.869 9.192 11.509 9.360 4.551 12.293 9.491 6.840 4.686 7.750 5.849.
Magnetization values (in Bohr magnetons per cell) by entry order: 0.00 1.11 1.86 2.34 2.10 0.00 0.00 5.23 0.00 0.03 0.00 1.16 0.02 0.00 0.00.